1.
{
  "formula": "La2TcOs",
  "functional": "PBE-GGA",
  "state": "optimized geometry",
  "delta_e_f_ev_per_atom": 0.34,
  "polymorph_energy_ev_per_atom": 0.142,
  "spacegroup": "No. 123",
  "lattice": [[5.0207, 0.0000, 0.0000], [0.0000, 5.0207, 0.0000], [0.0000, 0.0000, 3.5762]],
  "species": ["La", "La", "Tc", "Os"],
  "fractional_positions": [[0.0000, 0.5000, 0.0000], [0.5000, 0.0000, 0.0000], [0.0000, 0.0000, 0.5000], [0.5000, 0.5000, 0.5000]]
}



2.
{
  "formula": "LaTcOs4",
  "functional": "PBE-GGA",
  "state": "optimized geometry",
  "delta_e_f_ev_per_atom": 0.47,
  "spacegroup": "No. 216",
  "lattice": [[0.0000, 3.7440, 3.7440], [3.7440, 0.0000, 3.7440], [3.7440, 3.7440, 0.0000]],
  "species": ["La", "Tc", "Os", "Os", "Os", "Os"],
  "fractional_positions": [[0.0000, 0.0000, 0.0000], [0.2500, 0.2500, 0.2500], [0.1272, 0.6243, 0.6243], [0.6243, 0.1272, 0.6243], [0.6243, 0.6243, 0.1272], [0.6243, 0.6243, 0.6243]]
}



3.
{
  "formula": "LaTcOs3",
  "functional": "PBE-GGA",
  "state": "optimized geometry",
  "delta_e_f_ev_per_atom": 1.12,
  "polymorph_energy_ev_per_atom": 0.000,
  "spacegroup": "No. 221",
  "lattice": [[4.7452, 0.0000, 0.0000], [0.0000, 4.7452, 0.0000], [0.0000, 0.0000, 4.7452]],
  "species": ["La", "Tc", "Os", "Os", "Os"],
  "fractional_positions": [[0.0000, 0.0000, 0.0000], [0.5000, 0.5000, 0.5000], [0.0000, 0.5000, 0.5000], [0.5000, 0.0000, 0.5000], [0.5000, 0.5000, 0.0000]]
}



4.
{
  "formula": "LaTcOs",
  "functional": "PBE-GGA",
  "state": "optimized geometry",
  "delta_e_f_ev_per_atom": 0.05,
  "polymorph_energy_ev_per_atom": 0.000,
  "spacegroup": "No. 156",
  "lattice": [[4.1300, 0.0000, 0.0000], [-2.0650, 3.5767, 0.0000], [0.0000, 0.0000, 4.7735]],
  "species": ["La", "Tc", "Os"],
  "fractional_positions": [[0.0000, 0.0000, 0.0000], [0.3333, 0.6667, 0.5357], [0.6667, 0.3333, 0.4558]]
}



5.
{
  "formula": "LaTc2Os",
  "functional": "PBE-GGA",
  "state": "optimized geometry",
  "delta_e_f_ev_per_atom": 0.42,
  "polymorph_energy_ev_per_atom": 0.105,
  "spacegroup": "No. 8",
  "lattice": [[4.9233, -1.5254, 0.0000], [4.9233, 1.5254, 0.0000], [-1.8130, 0.0000, 5.0950]],
  "species": ["La", "Tc", "Tc", "Os"],
  "fractional_positions": [[0.0000, 0.0000, 0.0000], [0.2153, 0.2153, 0.6975], [0.4985, 0.4985, 0.4833], [0.7706, 0.7706, 0.3571]]
}



6.
{
  "formula": "LaTcOs",
  "functional": "PBE-GGA",
  "state": "optimized geometry",
  "delta_e_f_ev_per_atom": 0.68,
  "polymorph_energy_ev_per_atom": 0.629,
  "spacegroup": "No. 216",
  "lattice": [[0.0000, 3.2277, 3.2277], [3.2277, 0.0000, 3.2277], [3.2277, 3.2277, 0.0000]],
  "species": ["La", "Tc", "Os"],
  "fractional_positions": [[0.0000, 0.0000, 0.0000], [0.5000, 0.5000, 0.5000], [0.7500, 0.7500, 0.7500]]
}



7.
{
  "formula": "La2TcOs",
  "functional": "PBE-GGA",
  "state": "optimized geometry",
  "delta_e_f_ev_per_atom": 0.23,
  "polymorph_energy_ev_per_atom": 0.028,
  "spacegroup": "No. 6",
  "lattice": [[3.1552, 0.0000, 0.0000], [0.0000, 4.0509, 0.0000], [-0.7081, 0.0000, 8.0090]],
  "species": ["La", "La", "Tc", "Os"],
  "fractional_positions": [[0.0000, 0.0000, 0.0000], [0.2591, 0.5000, 0.5835], [0.8300, 0.0000, 0.3390], [0.4371, 0.5000, 0.2379]]
}



8.
{
  "formula": "LaTc2Os",
  "functional": "PBE-GGA",
  "state": "optimized geometry",
  "delta_e_f_ev_per_atom": 0.32,
  "polymorph_energy_ev_per_atom": 0.000,
  "spacegroup": "No. 99",
  "lattice": [[3.0860, 0.0000, 0.0000], [0.0000, 3.0860, 0.0000], [0.0000, 0.0000, 7.6859]],
  "species": ["La", "Tc", "Tc", "Os"],
  "fractional_positions": [[0.0000, 0.0000, 0.0000], [0.0000, 0.0000, 0.5026], [0.5000, 0.5000, 0.6844], [0.5000, 0.5000, 0.2967]]
}